Computed, not measured: an optimized crystal structure of Sr2LaMoAu at the GGA-PBE level of DFT.

Unit cell a=5.9484 b=5.9484 c=5.7635 alpha=90.00 beta=90.00 gamma=90.00
Space group P4/mmm (No. 123)
One atom of each set of equivalent atoms:
Sr 0.0000 0.5000 0.0000 [2 per cell]
La 0.0000 0.0000 0.5000 [1 per cell]
Mo 0.5000 0.5000 0.5000 [1 per cell]
Au 0.0000 0.0000 0.0000 [1 per cell]

Properties
The value obtained for the total magnetization is 0.849 μB per atom. For the final energy, the calculation gives -3.89 eV per atom. The formation energy from the elements is 592 meV/atom.